Entry 1:
# GGA-PBE CsTe8Mo4, optimized geometry
# uncorrected formation energy = -0.175 eV/atom
data_CsTe8Mo4
_symmetry_space_group_name_H-M 'C 1 2/m 1'
_symmetry_Int_Tables_number 12
_cell_length_a 19.690
_cell_length_b 3.554
_cell_length_c 13.332
_cell_angle_alpha 90.00
_cell_angle_beta 131.50
_cell_angle_gamma 90.00
loop_
_symmetry_equiv_pos_as_xyz
'x,y,z'
'-x,-y,-z'
'-x,y,-z'
'x,-y,z'
'x+1/2,y+1/2,z'
'-x+1/2,-y+1/2,-z'
'-x+1/2,y+1/2,-z'
'x+1/2,-y+1/2,z'
loop_
_atom_site_label
_atom_site_fract_x
_atom_site_fract_y
_atom_site_fract_z
_atom_site_occupancy
Cs1 0.000 0.000 0.000 1
Te1 0.041 0.000 0.320 1
Te2 0.113 0.500 0.629 1
Te3 0.175 0.500 0.000 1
Te4 0.199 0.500 0.309 1
Mo1 0.134 0.000 0.801 1
Mo2 0.187 0.500 0.498 1


Entry 2:
# GGA-PBE ZrTa3, optimized geometry
# polymorph energy (0 for the lowest one) = 0.60 eV/f.u.
# ΔE_f = 0.232 eV/atom
data_ZrTa3
_symmetry_space_group_name_H-M 'I 4/m m m'
_symmetry_Int_Tables_number 139
_symmetry_space_group_name_Hall '-I 4 2'
_cell_length_a 4.032
_cell_length_b 4.032
_cell_length_c 19.178
_cell_angle_alpha 90.00
_cell_angle_beta 90.00
_cell_angle_gamma 90.00
loop_
_atom_site_label
_atom_site_fract_x
_atom_site_fract_y
_atom_site_fract_z
_atom_site_occupancy
Zr1 0.000 0.000 0.127 1
Ta1 0.000 0.000 0.378 1
Ta2 0.000 0.500 0.000 1
Ta3 0.000 0.500 0.250 1


Entry 3:
# GGA-PBE BaIr2Os, optimized geometry
# polymorph energy (0 for the lowest one) = 1.26 eV/f.u.
# ΔE_f = 0.434 eV/atom
data_BaIr2Os
_symmetry_space_group_name_H-M 'P 1 2/m 1'
_symmetry_Int_Tables_number 10
_cell_length_a 2.882
_cell_length_b 3.625
_cell_length_c 7.690
_cell_angle_alpha 90.00
_cell_angle_beta 90.16
_cell_angle_gamma 90.00
loop_
_symmetry_equiv_pos_as_xyz
'x,y,z'
'-x,-y,-z'
'-x,y,-z'
'x,-y,z'
loop_
_atom_site_label
_atom_site_fract_x
_atom_site_fract_y
_atom_site_fract_z
_atom_site_occupancy
Ba1 0.000 0.000 0.000 1
Ir1 0.498 0.500 0.325 1
Os1 0.000 0.000 0.500 1


Entry 4:
# GGA-PBE BaIn2NiBr, optimized geometry
# uncorrected formation energy = 0.746 eV/atom
data_BaIn2NiBr
_symmetry_space_group_name_H-M 'P 4/m m m'
_symmetry_Int_Tables_number 123
_symmetry_space_group_name_Hall '-P 4 2'
_cell_length_a 6.804
_cell_length_b 6.804
_cell_length_c 5.076
_cell_angle_alpha 90.00
_cell_angle_beta 90.00
_cell_angle_gamma 90.00
loop_
_atom_site_label
_atom_site_fract_x
_atom_site_fract_y
_atom_site_fract_z
_atom_site_occupancy
Ba1 0.000 0.000 0.000 1
In1 0.000 0.500 0.000 1
Ni1 0.000 0.000 0.500 1
Br1 0.500 0.500 0.500 1


Entry 5:
# GGA-PBE LiDy3Sc3Te8, optimized geometry
# uncorrected formation energy = -1.233 eV/atom
data_LiDy3Sc3Te8
_symmetry_space_group_name_H-M 'R -3 m'
_symmetry_Int_Tables_number 166
_symmetry_space_group_name_Hall '-R 3 2"'
_cell_length_a 8.4763
_cell_length_b 8.4763
_cell_length_c 20.8206
_cell_angle_alpha 90.00
_cell_angle_beta 90.00
_cell_angle_gamma 120.00
loop_
_atom_site_label
_atom_site_fract_x
_atom_site_fract_y
_atom_site_fract_z
_atom_site_occupancy
Li1 0.0000 0.0000 0.0000 1
Dy1 0.0000 0.5000 0.5000 1
Sc1 0.0000 0.5000 0.0000 1
Te1 0.0000 0.0000 0.2548 1
Te2 0.0072 0.5036 0.2528 1


Entry 6:
# GGA-PBE Pu2PtN, optimized geometry
# polymorph energy (0 for the lowest one) = 0.09 eV/f.u.
# uncorrected formation energy = -0.618 eV/atom
data_Pu2PtN
_symmetry_space_group_name_H-M 'P 4/m m m'
_symmetry_Int_Tables_number 123
_symmetry_space_group_name_Hall '-P 4 2'
_cell_length_a 3.106
_cell_length_b 3.106
_cell_length_c 7.191
_cell_angle_alpha 90.00
_cell_angle_beta 90.00
_cell_angle_gamma 90.00
loop_
_atom_site_label
_atom_site_fract_x
_atom_site_fract_y
_atom_site_fract_z
_atom_site_occupancy
Pu1 0.000 0.000 0.199 1
Pt1 0.500 0.500 0.500 1
N1 0.500 0.500 0.000 1


Entry 7:
# GGA-PBE Ce2NdReN4, optimized geometry
# uncorrected formation energy = -1.018 eV/atom
data_Ce2NdReN4
_symmetry_space_group_name_H-M 'C m c m'
_symmetry_Int_Tables_number 63
_symmetry_space_group_name_Hall '-C 2c 2'
_cell_length_a 3.428
_cell_length_b 12.042
_cell_length_c 11.784
_cell_angle_alpha 90.00
_cell_angle_beta 90.00
_cell_angle_gamma 90.00
loop_
_atom_site_label
_atom_site_fract_x
_atom_site_fract_y
_atom_site_fract_z
_atom_site_occupancy
Ce1 0.000 0.132 0.046 1
Nd1 0.000 0.384 0.250 1
Re1 0.000 0.355 0.750 1
N1 0.000 0.045 0.250 1
N2 0.000 0.233 0.629 1
N3 0.000 0.500 0.000 1


Entry 8:
# GGA-PBE PmEr8Tm6, optimized geometry
# polymorph energy (0 for the lowest one) = 1.46 eV/f.u.
# ΔE_f = 0.236 eV/atom
data_PmEr8Tm6
_symmetry_space_group_name_H-M 'P -3'
_symmetry_Int_Tables_number 147
_cell_length_a 9.3115
_cell_length_b 9.3115
_cell_length_c 6.4203
_cell_angle_alpha 90.00
_cell_angle_beta 90.00
_cell_angle_gamma 120.00
loop_
_symmetry_equiv_pos_as_xyz
'x,y,z'
'-x,-y,-z'
'-y,x-y,z'
'y,-x+y,-z'
'-x+y,-x,z'
'x-y,x,-z'
loop_
_atom_site_label
_atom_site_fract_x
_atom_site_fract_y
_atom_site_fract_z
_atom_site_occupancy
Pm1 0.0000 0.0000 0.0000 1
Er1 0.0257 0.6862 0.5939 1
Er2 0.3333 0.6667 0.3294 1
Tm1 0.0973 0.4167 0.9100 1


Entry 9:
# GGA-PBE LaCePrTh, optimized geometry
# polymorph energy (0 for the lowest one) = 0.00 eV/f.u.
# ΔE_f = 0.032 eV/atom
data_LaCePrTh
_symmetry_space_group_name_H-M 'P 4 m m'
_symmetry_Int_Tables_number 99
_cell_length_a 3.571
_cell_length_b 3.571
_cell_length_c 10.301
_cell_angle_alpha 90.00
_cell_angle_beta 90.00
_cell_angle_gamma 90.00
loop_
_symmetry_equiv_pos_as_xyz
'x,y,z'
'-y,x,z'
'-x,-y,z'
'y,-x,z'
'-x,y,z'
'y,x,z'
'x,-y,z'
'-y,-x,z'
loop_
_atom_site_label
_atom_site_fract_x
_atom_site_fract_y
_atom_site_fract_z
_atom_site_occupancy
La1 0.000 0.000 0.000 1
Ce1 0.000 0.000 0.470 1
Pr1 0.500 0.500 0.715 1
Th1 0.500 0.500 0.245 1


Entry 10:
# GGA-PBE Li3Co, optimized geometry
# ΔE_f = 0.156 eV/atom
data_Li3Co
_symmetry_space_group_name_H-M 'C m m m'
_symmetry_Int_Tables_number 65
_symmetry_space_group_name_Hall '-C 2 2'
_cell_length_a 2.996
_cell_length_b 4.100
_cell_length_c 9.247
_cell_angle_alpha 90.00
_cell_angle_beta 90.00
_cell_angle_gamma 90.00
loop_
_atom_site_label
_atom_site_fract_x
_atom_site_fract_y
_atom_site_fract_z
_atom_site_occupancy
Li1 0.000 0.000 0.000 1
Li2 0.000 0.500 0.278 1
Co1 0.000 0.000 0.500 1


| no. | DFT total energy (eV/atom) | DOS at the Fermi energy (states/eV per cell) |
| --- | --- | --- |
| 1 | -5.507 | 14.90 |
| 2 | -10.794 | 18.43 |
| 3 | -7.285 | 3.94 |
| 4 | -2.224 | 5.27 |
| 5 | -5.223 | 15.48 |
| 6 | -11.375 | 11.25 |
| 7 | -8.816 | 11.58 |
| 8 | -4.303 | 21.61 |
| 9 | -5.733 | 7.05 |
| 10 | -3.056 | 4.01 |